Hf2SCl after structural relaxation. Source: Alexandria, functional PBE-GGA.

Results
- E (eV/atom) = -6.714
- E_form (uncorrected) (meV/atom) = -244
- V (Å³/cell) = 183

Cell lengths 6.001, 6.001, 6.613 Å; angles 63.02, 63.02, 90.00 degrees
Each line ends with the local moment (μB).
Atoms (fractional coordinates):
S 0.250 0.750 0.500  0.01
S 0.500 0.500 0.000  0.01
Cl 0.000 0.000 0.000  0.01
Cl 0.750 0.250 0.500  0.01
Hf 0.875 0.865 0.750  0.14
Hf 0.375 0.385 0.750  0.12
Hf 0.135 0.625 0.250  0.13
Hf 0.615 0.125 0.250  0.13